VASP calculation (GGA-PBE) on a geometry-optimized SnP2BrO structure.

POSCAR file:
```
SnP2BrO
1.0
-1.1128 4.5312 -1.6518
0.2570 -1.6370 -4.6640
-3.8694 -0.9114 0.1067
Sn P Br O
1 2 1 1
Direct
0.5000 0.5000 0.5000
0.0000 0.5000 0.0000
0.5000 0.0000 0.0000
0.0000 0.0000 0.0000
0.0000 0.0000 0.5000
```

## Properties
Raw formation energy   0.889 eV/atom
E   -17.01 eV/cell
Relative energy among the computed polymorphs   0.3590 eV per atom